#one
The following is a DFT calculation (PBE) of KCuAs2 after structural relaxation.

a b c (Å): 5.2221 5.2221 16.3379
angles (deg): 90.00 90.00 90.00
With the nearest neighbours (Å) after each atom.
Space group I4_1/amd (No. 141, origin choice 2)
Inequivalent atoms, fractional coordinates:
K: 0.0000 0.2500 0.3750 [4 per cell]  8 As 3.56, 4 Cu 3.69
Cu: 0.0000 0.2500 0.8750 [4 per cell]  4 As 2.42
As: 0.0000 0.0000 0.0000 [8 per cell]  2 Cu 2.42, 2 As 2.61



#two
The following is a DFT calculation (PBE) of KCuAs2 after structural relaxation.

a b c (Å): 6.1719 9.6286 2.7825
angles (deg): 90.00 90.00 90.00
With the nearest neighbours (Å) after each atom.
Space group Cmmm (No. 65)
Inequivalent atoms, fractional coordinates:
K: 0.0000 0.0000 0.0000 [2 per cell]  2 K 2.78, 2 Cu 3.09
Cu: 0.0000 0.5000 0.0000 [2 per cell]  2 Cu 2.78, 2 K 3.09
As: 0.2500 0.2500 0.5000 [4 per cell]  4 As 2.78-3.09



#three
The following is a DFT calculation (PBE) of KCuAs2 after structural relaxation.

a b c (Å): 4.4849 4.4849 8.4712
angles (deg): 90.00 90.00 90.00
With the nearest neighbours (Å) after each atom.
Space group I-4m2 (No. 119)
Inequivalent atoms, fractional coordinates:
K: 0.0000 0.0000 0.0000 [2 per cell]  8 As 3.08-3.17, 4 Cu 3.08
Cu: 0.0000 0.5000 0.2500 [2 per cell]  8 As 3.08-3.17, 4 K 3.08
As: 0.0000 0.0000 0.5000 [2 per cell]  4 As 3.08, 4 Cu 3.08, 4 K 3.17
As: 0.0000 0.5000 0.7500 [2 per cell]  4 As 3.08, 4 K 3.08, 4 Cu 3.17



#four
The following is a DFT calculation (PBE) of KCuAs2 after structural relaxation.

a b c (Å): 4.4711 4.4711 17.8770
angles (deg): 90.00 90.00 120.00
With the nearest neighbours (Å) after each atom.
Space group R-3m (No. 166, hexagonal axes)
Inequivalent atoms, fractional coordinates:
K: 0.0000 0.0000 0.0000 [3 per cell]  8 As 3.45-3.60
Cu: 0.0000 0.0000 0.5000 [3 per cell]  6 As 2.62
As: 0.0000 0.0000 0.1928 [6 per cell]  3 Cu 2.62, 3 As 2.75



Name the least stable of them. #three.



#one
The following is a DFT calculation (PBE) of KCu3As after structural relaxation.

a b c (Å): 4.7513 4.7513 4.7513
angles (deg): 90.00 90.00 90.00
With the nearest neighbours (Å) after each atom.
Space group Pm-3m (No. 221)
Inequivalent atoms, fractional coordinates:
K: 0.0000 0.0000 0.0000 [1 per cell]  12 Cu 3.36
Cu: 0.0000 0.5000 0.5000 [3 per cell]  2 As 2.38
As: 0.5000 0.5000 0.5000 [1 per cell]  6 Cu 2.38



#two
The following is a DFT calculation (PBE) of KCu3As after structural relaxation.

a b c (Å): 4.8971 4.8971 4.8971
angles (deg): 90.00 90.00 90.00
With the nearest neighbours (Å) after each atom.
Space group Pm-3m (No. 221)
Inequivalent atoms, fractional coordinates:
K: 0.0000 0.0000 0.0000 [1 per cell]  6 Cu 2.45
Cu: 0.0000 0.0000 0.5000 [3 per cell]  2 K 2.45
As: 0.5000 0.5000 0.5000 [1 per cell]  12 Cu 3.46



Name the least stable of them. #two.



#one
The following is a DFT calculation (PBE) of LaCuAs2Se after structural relaxation.

a b c (Å): 4.7233 4.7233 5.0137
angles (deg): 90.00 90.00 90.00
With the nearest neighbours (Å) after each atom.
Space group P4/mmm (No. 123)
Inequivalent atoms, fractional coordinates:
La: 0.0000 0.0000 0.0000 [1 per cell]  4 Se 3.34, 8 As 3.44
Cu: 0.5000 0.5000 0.5000 [1 per cell]  4 As 2.36, 2 Se 2.51
As: 0.0000 0.5000 0.5000 [2 per cell]  2 Cu 2.36
Se: 0.5000 0.5000 0.0000 [1 per cell]  2 Cu 2.51



#two
The following is a DFT calculation (PBE) of LaCuAs2Se after structural relaxation.

a b c (Å): 5.7489 5.7489 5.6698
angles (deg): 90.00 90.00 90.00
With the nearest neighbours (Å) after each atom.
Space group P4/mmm (No. 123)
Inequivalent atoms, fractional coordinates:
La: 0.0000 0.0000 0.0000 [1 per cell]  2 Se 2.83, 4 As 2.87
Cu: 0.5000 0.5000 0.5000 [1 per cell]  8 As 4.04, 4 Se 4.07
As: 0.0000 0.5000 0.0000 [2 per cell]  2 La 2.87
Se: 0.0000 0.0000 0.5000 [1 per cell]  2 La 2.83



Name the least stable of them. #two.



#one
The following is a DFT calculation (PBE) of Li2CuAs2 after structural relaxation.

a b c (Å): 4.0682 5.5124 8.3706
angles (deg): 87.47 76.02 68.42
With the nearest neighbours (Å) after each atom.
Space group P-1 (No. 2)
Inequivalent atoms, fractional coordinates:
Li: 0.0890 0.2333 0.0884 [2 per cell]  6 As 2.69-3.00
Li: 0.3217 0.1761 0.6792 [2 per cell]  6 As 2.72-2.95, 3 Cu 2.86-2.90
Cu: 0.3445 0.4342 0.3745 [2 per cell]  4 As 2.42-2.49
As: 0.0553 0.8081 0.5830 [2 per cell]  3 Cu 2.42-2.49, 1 As 2.44, 1 Li 2.69
As: 0.3602 0.6620 0.1178 [2 per cell]  1 Cu 2.44, 1 As 2.47, 4 Li 2.70-2.72



#two
The following is a DFT calculation (PBE) of Li2CuAs2 after structural relaxation.

a b c (Å): 6.3425 6.3425 4.1816
angles (deg): 90.00 90.00 90.00
With the nearest neighbours (Å) after each atom.
Space group P4/mbm (No. 127)
Inequivalent atoms, fractional coordinates:
Li: 0.1654 0.3346 0.0000 [4 per cell]  6 As 2.72-2.86, 1 Li 2.97
Cu: 0.0000 0.0000 0.5000 [2 per cell]  4 As 2.45
As: 0.1406 0.6406 0.5000 [4 per cell]  2 Cu 2.45, 1 As 2.52, 2 Li 2.72



Name the least stable of them. #two.



#one
The following is a DFT calculation (PBE) of Mg2CuAs2 after structural relaxation.

a b c (Å): 6.8680 6.8680 3.9726
angles (deg): 90.00 90.00 90.00
With the nearest neighbours (Å) after each atom.
Space group P4/mbm (No. 127)
Inequivalent atoms, fractional coordinates:
Mg: 0.1590 0.3410 0.0000 [4 per cell]  6 As 2.70-2.92
Cu: 0.0000 0.0000 0.5000 [2 per cell]  4 As 2.60
As: 0.1533 0.6533 0.5000 [4 per cell]  2 Cu 2.60, 2 Mg 2.70



#two
The following is a DFT calculation (PBE) of Mg2CuAs2 after structural relaxation.

a b c (Å): 7.9411 7.9411 3.0308
angles (deg): 90.00 90.00 90.00
With the nearest neighbours (Å) after each atom.
Space group P4/mbm (No. 127)
Inequivalent atoms, fractional coordinates:
Mg: 0.1398 0.3602 0.0000 [4 per cell]  6 As 2.69-2.84
Cu: 0.0000 0.0000 0.0000 [2 per cell]  2 Cu 3.03, 4 Mg 3.07, 8 As 3.34
As: 0.1625 0.6625 0.5000 [4 per cell]  6 Mg 2.69-2.84



Name the least stable of them. #two.



#one
The following is a DFT calculation (PBE) of MgCuAsSe2 after structural relaxation.

a b c (Å): 5.0242 5.0242 4.9278
angles (deg): 90.00 90.00 90.00
With the nearest neighbours (Å) after each atom.
Space group P4/mmm (No. 123)
Inequivalent atoms, fractional coordinates:
Mg: 0.0000 0.0000 0.0000 [1 per cell]  2 As 2.46, 4 Se 2.51
Cu: 0.5000 0.5000 0.5000 [1 per cell]  8 Se 3.52, 4 As 3.55
As: 0.0000 0.0000 0.5000 [1 per cell]  2 Mg 2.46
Se: 0.0000 0.5000 0.0000 [2 per cell]  2 Mg 2.51



#two
The following is a DFT calculation (PBE) of MgCuAsSe2 after structural relaxation.

a b c (Å): 4.9603 4.9603 4.7239
angles (deg): 90.00 90.00 90.00
With the nearest neighbours (Å) after each atom.
Space group P4/mmm (No. 123)
Inequivalent atoms, fractional coordinates:
Mg: 0.0000 0.0000 0.0000 [1 per cell]  2 Cu 2.36, 4 Se 2.48
Cu: 0.0000 0.0000 0.5000 [1 per cell]  2 Mg 2.36
As: 0.5000 0.5000 0.5000 [1 per cell]  8 Se 3.42, 4 Cu 3.51
Se: 0.0000 0.5000 0.0000 [2 per cell]  2 Mg 2.48



Name the least stable of them. #one.



#one
The following is a DFT calculation (PBE) of MnCu3As after structural relaxation.

a b c (Å): 4.4103 4.4103 4.4103
angles (deg): 90.00 90.00 90.00
With the nearest neighbours (Å) after each atom.
Space group Pm-3m (No. 221)
Inequivalent atoms, fractional coordinates:
Mn: 0.0000 0.0000 0.0000 [1 per cell]  6 Cu 2.21
Cu: 0.0000 0.0000 0.5000 [3 per cell]  2 Mn 2.21
As: 0.5000 0.5000 0.5000 [1 per cell]  12 Cu 3.12



#two
The following is a DFT calculation (PBE) of MnCu3As after structural relaxation.

a b c (Å): 4.4846 4.4846 4.4846
angles (deg): 90.00 90.00 90.00
With the nearest neighbours (Å) after each atom.
Space group Pm-3m (No. 221)
Inequivalent atoms, fractional coordinates:
Mn: 0.0000 0.0000 0.0000 [1 per cell]  12 Cu 3.17
Cu: 0.0000 0.5000 0.5000 [3 per cell]  2 As 2.24
As: 0.5000 0.5000 0.5000 [1 per cell]  6 Cu 2.24



Name the least stable of them. #one.



#one
The following is a DFT calculation (PBE) of Mn3CuAs after structural relaxation.

a b c (Å): 4.5268 4.5268 4.5268
angles (deg): 90.00 90.00 90.00
With the nearest neighbours (Å) after each atom.
Space group Pm-3m (No. 221)
Inequivalent atoms, fractional coordinates:
Mn: 0.0000 0.0000 0.5000 [3 per cell]  2 As 2.26
Cu: 0.5000 0.5000 0.5000 [1 per cell]  12 Mn 3.20
As: 0.0000 0.0000 0.0000 [1 per cell]  6 Mn 2.26



#two
The following is a DFT calculation (PBE) of Mn3CuAs after structural relaxation.

a b c (Å): 4.5237 4.5237 4.5237
angles (deg): 90.00 90.00 90.00
With the nearest neighbours (Å) after each atom.
Space group Pm-3m (No. 221)
Inequivalent atoms, fractional coordinates:
Mn: 0.0000 0.0000 0.5000 [3 per cell]  2 Cu 2.26
Cu: 0.0000 0.0000 0.0000 [1 per cell]  6 Mn 2.26
As: 0.5000 0.5000 0.5000 [1 per cell]  12 Mn 3.20



Name the least stable of them. #two.



#one
The following is a DFT calculation (PBE) of Cu3MoAs after structural relaxation.

a b c (Å): 4.6576 4.6576 4.6576
angles (deg): 90.00 90.00 90.00
With the nearest neighbours (Å) after each atom.
Space group Pm-3m (No. 221)
Inequivalent atoms, fractional coordinates:
Cu: 0.0000 0.0000 0.5000 [3 per cell]  2 Mo 2.33
Mo: 0.0000 0.0000 0.0000 [1 per cell]  6 Cu 2.33
As: 0.5000 0.5000 0.5000 [1 per cell]  12 Cu 3.29



#two
The following is a DFT calculation (PBE) of Cu3MoAs after structural relaxation.

a b c (Å): 4.3727 4.3727 4.3727
angles (deg): 90.00 90.00 90.00
With the nearest neighbours (Å) after each atom.
Space group Pm-3m (No. 221)
Inequivalent atoms, fractional coordinates:
Cu: 0.0000 0.0000 0.5000 [3 per cell]  2 As 2.19
Mo: 0.5000 0.5000 0.5000 [1 per cell]  12 Cu 3.09
As: 0.0000 0.0000 0.0000 [1 per cell]  6 Cu 2.19



Name the least stable of them. #one.



#one
The following is a DFT calculation (PBE) of CuMo3As after structural relaxation.

a b c (Å): 4.5288 4.5288 4.5288
angles (deg): 90.00 90.00 90.00
With the nearest neighbours (Å) after each atom.
Space group Pm-3m (No. 221)
Inequivalent atoms, fractional coordinates:
Cu: 0.0000 0.0000 0.0000 [1 per cell]  6 Mo 2.26
Mo: 0.0000 0.0000 0.5000 [3 per cell]  2 Cu 2.26
As: 0.5000 0.5000 0.5000 [1 per cell]  12 Mo 3.20



#two
The following is a DFT calculation (PBE) of CuMo3As after structural relaxation.

a b c (Å): 4.5952 4.5952 4.5952
angles (deg): 90.00 90.00 90.00
With the nearest neighbours (Å) after each atom.
Space group Pm-3m (No. 221)
Inequivalent atoms, fractional coordinates:
Cu: 0.0000 0.0000 0.0000 [1 per cell]  12 Mo 3.25
Mo: 0.0000 0.5000 0.5000 [3 per cell]  2 As 2.30
As: 0.5000 0.5000 0.5000 [1 per cell]  6 Mo 2.30



Name the least stable of them. #one.



#one
The following is a DFT calculation (PBE) of Cu3AsN after structural relaxation.

a b c (Å): 4.5448 4.5448 4.5448
angles (deg): 90.00 90.00 90.00
With the nearest neighbours (Å) after each atom.
Space group Pm-3m (No. 221)
Inequivalent atoms, fractional coordinates:
Cu: 0.0000 0.0000 0.5000 [3 per cell]  2 As 2.27
As: 0.0000 0.0000 0.0000 [1 per cell]  6 Cu 2.27
N: 0.5000 0.5000 0.5000 [1 per cell]  12 Cu 3.21



#two
The following is a DFT calculation (PBE) of Cu3AsN after structural relaxation.

a b c (Å): 3.9822 3.9822 3.9822
angles (deg): 90.00 90.00 90.00
With the nearest neighbours (Å) after each atom.
Space group Pm-3m (No. 221)
Inequivalent atoms, fractional coordinates:
Cu: 0.0000 0.0000 0.5000 [3 per cell]  2 N 1.99
As: 0.5000 0.5000 0.5000 [1 per cell]  12 Cu 2.82
N: 0.0000 0.0000 0.0000 [1 per cell]  6 Cu 1.99



Name the least stable of them. #one.



#one
The following is a DFT calculation (PBE) of Cu2AsN after structural relaxation.

a b c (Å): 5.1845 5.1845 8.7421
angles (deg): 90.00 90.00 90.00
With the nearest neighbours (Å) after each atom.
Space group I-42d (No. 122)
Inequivalent atoms, fractional coordinates:
Cu: 0.1603 0.2500 0.1250 [8 per cell]  2 N 1.89
As: 0.0000 0.0000 0.5000 [4 per cell]  4 Cu 2.44
N: 0.0000 0.0000 0.0000 [4 per cell]  4 Cu 1.89



#two
The following is a DFT calculation (PBE) of Cu2AsN after structural relaxation.

a b c (Å): 5.8087 5.8087 5.8087
angles (deg): 90.00 90.00 90.00
With the nearest neighbours (Å) after each atom.
Space group Fm-3m (No. 225)
Inequivalent atoms, fractional coordinates:
Cu: 0.2500 0.2500 0.2500 [8 per cell]  4 As 2.52, 4 N 2.52
As: 0.0000 0.0000 0.0000 [4 per cell]  8 Cu 2.52
N: 0.0000 0.0000 0.5000 [4 per cell]  8 Cu 2.52



Name the least stable of them. #two.



#one
The following is a DFT calculation (PBE) of CuAsSN2 after structural relaxation.

a b c (Å): 3.5591 3.5591 5.8767
angles (deg): 90.00 90.00 90.00
With the nearest neighbours (Å) after each atom.
Space group P4/mmm (No. 123)
Inequivalent atoms, fractional coordinates:
Cu: 0.0000 0.0000 0.0000 [1 per cell]  4 S 2.52
As: 0.5000 0.5000 0.5000 [1 per cell]  4 N 1.78
S: 0.5000 0.5000 0.0000 [1 per cell]  4 Cu 2.52
N: 0.0000 0.5000 0.5000 [2 per cell]  2 As 1.78



#two
The following is a DFT calculation (PBE) of CuAsSN2 after structural relaxation.

a b c (Å): 3.5079 3.5079 5.1210
angles (deg): 90.00 90.00 90.00
With the nearest neighbours (Å) after each atom.
Space group P4/mmm (No. 123)
Inequivalent atoms, fractional coordinates:
Cu: 0.0000 0.0000 0.0000 [1 per cell]  4 As 2.48, 2 S 2.56
As: 0.5000 0.5000 0.0000 [1 per cell]  4 Cu 2.48
S: 0.0000 0.0000 0.5000 [1 per cell]  4 N 1.75
N: 0.0000 0.5000 0.5000 [2 per cell]  2 S 1.75



Name the least stable of them. #two.